GGA+U MnTeSeF2, optimized geometry; calculated density = 4.795 Mg/m³; Fermi-level density of states = 0.45 states/eV/atom; calculated volume = 103.72 Å³ per cell; crystal system = tetragonal; DFT total energy = -24.90 eV/cell; size of the total moment = 0.943 μB per atom
1.0
4.027 0.000 0.000
0.000 4.027 0.000
0.000 0.000 6.394
Mn Te Se F
1 1 1 2
direct
0.000 0.000 0.000
0.500 0.500 0.500
0.000 0.000 0.500
0.000 0.500 0.000
0.500 0.000 0.000